A relaxed structure of AlTePd5, computed with PBE-GGA.

Its calculated density is 9.39 g cm⁻³. Its raw total energy is -141.20 eV per cell.

CIF file:
```
data_AlTePd5
_chemical_formula_sum 'Al4 Te4 Pd20'
_cell_length_a 7.890
_cell_length_b 7.081
_cell_length_c 8.708
_cell_angle_alpha 90.00
_cell_angle_beta 93.06
_cell_angle_gamma 90.00
_space_group_name_H-M_alt 'C 1 2/c 1'
_space_group_IT_number 15
_space_group_name_Hall '-C 2yc'
loop_
_atom_site_label
_atom_site_type_symbol
_atom_site_fract_x
_atom_site_fract_y
_atom_site_fract_z
_atom_site_occupancy
Al1 Al 0.000 0.035 0.250 1
Te1 Te 0.000 0.500 0.000 1
Pd1 Pd 0.000 0.308 0.750 1
Pd2 Pd 0.158 0.082 0.998 1
Pd3 Pd 0.179 0.324 0.290 1
```

A relaxed structure of AlTe3Pd, computed with PBE-GGA.

Its calculated density is 5.89 g cm⁻³. Its raw total energy is -15.62 eV per cell. Its energy above the most stable polymorph in this dataset is 199 meV per atom.

CIF file:
```
data_AlTe3Pd
_chemical_formula_sum 'Al1 Te3 Pd1'
_cell_length_a 5.260
_cell_length_b 5.260
_cell_length_c 5.260
_cell_angle_alpha 90.00
_cell_angle_beta 90.00
_cell_angle_gamma 90.00
_space_group_name_H-M_alt 'P m -3 m'
_space_group_IT_number 221
_space_group_name_Hall '-P 4 2 3'
loop_
_atom_site_label
_atom_site_type_symbol
_atom_site_fract_x
_atom_site_fract_y
_atom_site_fract_z
_atom_site_occupancy
Al1 Al 0.000 0.000 0.000 1
Te1 Te 0.000 0.000 0.500 1
Pd1 Pd 0.500 0.500 0.500 1
```

A relaxed structure of TiAlTePd2, computed with PBE-GGA.

Its calculated density is 6.15 g cm⁻³. Its raw total energy is -22.64 eV per cell.

CIF file:
```
data_TiAlTePd2
_chemical_formula_sum 'Ti1 Al1 Te1 Pd2'
_cell_length_a 4.715
_cell_length_b 4.715
_cell_length_c 5.047
_cell_angle_alpha 90.00
_cell_angle_beta 90.00
_cell_angle_gamma 90.00
_space_group_name_H-M_alt 'P 4/m m m'
_space_group_IT_number 123
_space_group_name_Hall '-P 4 2'
loop_
_atom_site_label
_atom_site_type_symbol
_atom_site_fract_x
_atom_site_fract_y
_atom_site_fract_z
_atom_site_occupancy
Ti1 Ti 0.000 0.000 0.000 1
Al1 Al 0.000 0.000 0.500 1
Te1 Te 0.500 0.500 0.500 1
Pd1 Pd 0.000 0.500 0.000 1
```

A relaxed structure of Th3Al2Pd3, computed with PBE-GGA.

The formation energy comes out at -658 meV/atom. Its calculated density is 9.80 g cm⁻³. Its raw total energy is -101.17 eV per cell.

CIF file:
```
data_Th3Al2Pd3
_chemical_formula_sum 'Th6 Al4 Pd6'
_cell_length_a 8.5226
_cell_length_b 8.5226
_cell_length_c 5.7638
_cell_angle_alpha 90.00
_cell_angle_beta 90.00
_cell_angle_gamma 120.00
_space_group_name_H-M_alt 'P 63/m c m'
_space_group_IT_number 193
_space_group_name_Hall '-P 6c 2'
loop_
_atom_site_label
_atom_site_type_symbol
_atom_site_fract_x
_atom_site_fract_y
_atom_site_fract_z
_atom_site_occupancy
Th1 Th 0.0000 0.2718 0.2500 1
Al1 Al 0.3333 0.6667 0.0000 1
Pd1 Pd 0.0000 0.3945 0.7500 1
```

A relaxed structure of Th2AlPd3, computed with PBE-GGA.

The formation energy comes out at -844 meV/atom. Its calculated density is 10.53 g cm⁻³. Its raw total energy is -156.90 eV per cell. Its energy above the most stable polymorph in this dataset is 0 meV per atom.

CIF file:
```
data_Th2AlPd3
_chemical_formula_sum 'Th8 Al4 Pd12'
_cell_length_a 7.170
_cell_length_b 4.033
_cell_length_c 17.684
_cell_angle_alpha 90.00
_cell_angle_beta 90.00
_cell_angle_gamma 90.00
_space_group_name_H-M_alt 'P n m a'
_space_group_IT_number 62
_space_group_name_Hall '-P 2ac 2n'
loop_
_atom_site_label
_atom_site_type_symbol
_atom_site_fract_x
_atom_site_fract_y
_atom_site_fract_z
_atom_site_occupancy
Th1 Th 0.089 0.250 0.211 1
Th2 Th 0.142 0.250 0.428 1
Al1 Al 0.014 0.750 0.062 1
Pd1 Pd 0.119 0.250 0.653 1
Pd2 Pd 0.212 0.250 0.816 1
Pd3 Pd 0.228 0.250 0.049 1
```

A relaxed structure of ThAl2Pd, computed with PBE-GGA.

The formation energy comes out at -668 meV/atom. Its calculated density is 7.75 g cm⁻³. Its raw total energy is -182.17 eV per cell.

CIF file:
```
data_ThAl2Pd
_chemical_formula_sum 'Th8 Al16 Pd8'
_cell_length_a 4.471
_cell_length_b 9.215
_cell_length_c 16.326
_cell_angle_alpha 90.00
_cell_angle_beta 90.00
_cell_angle_gamma 90.00
_space_group_name_H-M_alt 'I m m m'
_space_group_IT_number 71
_space_group_name_Hall '-I 2 2'
loop_
_atom_site_label
_atom_site_type_symbol
_atom_site_fract_x
_atom_site_fract_y
_atom_site_fract_z
_atom_site_occupancy
Th1 Th 0.000 0.000 0.209 1
Th2 Th 0.000 0.224 0.000 1
Al1 Al 0.000 0.000 0.416 1
Al2 Al 0.000 0.353 0.188 1
Al3 Al 0.000 0.500 0.423 1
Pd1 Pd 0.000 0.256 0.351 1
```

A relaxed structure of ThAl6Pd6, computed with PBE-GGA.

The formation energy comes out at -765 meV/atom. Its calculated density is 8.03 g cm⁻³. Its raw total energy is -141.95 eV per cell.

CIF file:
```
data_ThAl6Pd6
_chemical_formula_sum 'Th2 Al12 Pd12'
_cell_length_a 5.257
_cell_length_b 8.673
_cell_length_c 9.367
_cell_angle_alpha 90.00
_cell_angle_beta 90.00
_cell_angle_gamma 90.00
_space_group_name_H-M_alt 'I m m m'
_space_group_IT_number 71
_space_group_name_Hall '-I 2 2'
loop_
_atom_site_label
_atom_site_type_symbol
_atom_site_fract_x
_atom_site_fract_y
_atom_site_fract_z
_atom_site_occupancy
Th1 Th 0.000 0.000 0.000 1
Al1 Al 0.000 0.255 0.500 1
Al2 Al 0.250 0.250 0.250 1
Pd1 Pd 0.000 0.000 0.342 1
Pd2 Pd 0.000 0.338 0.000 1
Pd3 Pd 0.000 0.500 0.317 1
```

A relaxed structure of Th2AlPd3, computed with PBE-GGA.

The formation energy comes out at -765 meV/atom. Its calculated density is 10.32 g cm⁻³. Its raw total energy is -309.99 eV per cell. Its energy above the most stable polymorph in this dataset is 80 meV per atom.

CIF file:
```
data_Th2AlPd3
_chemical_formula_sum 'Th16 Al8 Pd24'
_cell_length_a 7.222
_cell_length_b 9.069
_cell_length_c 15.926
_cell_angle_alpha 90.00
_cell_angle_beta 90.00
_cell_angle_gamma 90.00
_space_group_name_H-M_alt 'F m m m'
_space_group_IT_number 69
_space_group_name_Hall '-F 2 2'
loop_
_atom_site_label
_atom_site_type_symbol
_atom_site_fract_x
_atom_site_fract_y
_atom_site_fract_z
_atom_site_occupancy
Th1 Th 0.243 0.000 0.000 1
Th2 Th 0.250 0.250 0.250 1
Al1 Al 0.000 0.000 0.334 1
Pd1 Pd 0.000 0.000 0.175 1
Pd2 Pd 0.000 0.236 0.414 1
```

A relaxed structure of Th3Al9Pd2, computed with PBE-GGA.

The formation energy comes out at -579 meV/atom. Its calculated density is 6.83 g cm⁻³. Its raw total energy is -148.87 eV per cell.

CIF file:
```
data_Th3Al9Pd2
_chemical_formula_sum 'Th6 Al18 Pd4'
_cell_length_a 4.391
_cell_length_b 10.213
_cell_length_c 12.489
_cell_angle_alpha 90.00
_cell_angle_beta 90.00
_cell_angle_gamma 90.00
_space_group_name_H-M_alt 'I m m m'
_space_group_IT_number 71
_space_group_name_Hall '-I 2 2'
loop_
_atom_site_label
_atom_site_type_symbol
_atom_site_fract_x
_atom_site_fract_y
_atom_site_fract_z
_atom_site_occupancy
Th1 Th 0.000 0.000 0.000 1
Th2 Th 0.000 0.000 0.315 1
Al1 Al 0.000 0.278 0.124 1
Al2 Al 0.000 0.368 0.335 1
Al3 Al 0.000 0.500 0.000 1
Pd1 Pd 0.000 0.219 0.500 1
```

A relaxed structure of ThAl12Pd6, computed with PBE-GGA.

The formation energy comes out at -605 meV/atom. Its calculated density is 6.08 g cm⁻³. Its raw total energy is -284.92 eV per cell.

CIF file:
```
data_ThAl12Pd6
_chemical_formula_sum 'Th3 Al36 Pd18'
_cell_length_a 11.3398
_cell_length_b 11.3398
_cell_length_c 8.7849
_cell_angle_alpha 90.00
_cell_angle_beta 90.00
_cell_angle_gamma 120.00
_space_group_name_H-M_alt 'R -3 m'
_space_group_IT_number 166
_space_group_name_Hall '-R 3 2"'
loop_
_atom_site_label
_atom_site_type_symbol
_atom_site_fract_x
_atom_site_fract_y
_atom_site_fract_z
_atom_site_occupancy
Th1 Th 0.0000 0.0000 0.0000 1
Al1 Al 0.0000 0.3864 0.5000 1
Al2 Al 0.0839 0.1678 0.3180 1
Pd1 Pd 0.0452 0.5226 0.2429 1
```

A relaxed structure of ThAl7Pd2, computed with PBE-GGA.

The formation energy comes out at -127 meV/atom. Its calculated density is 4.74 g cm⁻³. Its raw total energy is -90.54 eV per cell.

CIF file:
```
data_ThAl7Pd2
_chemical_formula_sum 'Th2 Al14 Pd4'
_cell_length_a 7.729
_cell_length_b 13.751
_cell_length_c 4.178
_cell_angle_alpha 90.00
_cell_angle_beta 90.00
_cell_angle_gamma 90.00
_space_group_name_H-M_alt 'C m m m'
_space_group_IT_number 65
_space_group_name_Hall '-C 2 2'
loop_
_atom_site_label
_atom_site_type_symbol
_atom_site_fract_x
_atom_site_fract_y
_atom_site_fract_z
_atom_site_occupancy
Th1 Th 0.000 0.000 0.000 1
Al1 Al 0.000 0.230 0.000 1
Al2 Al 0.000 0.500 0.500 1
Al3 Al 0.182 0.149 0.500 1
Pd1 Pd 0.000 0.324 0.500 1
```

Copy entry 5 word for word.
A relaxed structure of Th2AlPd3, computed with PBE-GGA.

The formation energy comes out at -844 meV/atom. Its calculated density is 10.53 g cm⁻³. Its raw total energy is -156.90 eV per cell. Its energy above the most stable polymorph in this dataset is 0 meV per atom.

CIF file:
```
data_Th2AlPd3
_chemical_formula_sum 'Th8 Al4 Pd12'
_cell_length_a 7.170
_cell_length_b 4.033
_cell_length_c 17.684
_cell_angle_alpha 90.00
_cell_angle_beta 90.00
_cell_angle_gamma 90.00
_space_group_name_H-M_alt 'P n m a'
_space_group_IT_number 62
_space_group_name_Hall '-P 2ac 2n'
loop_
_atom_site_label
_atom_site_type_symbol
_atom_site_fract_x
_atom_site_fract_y
_atom_site_fract_z
_atom_site_occupancy
Th1 Th 0.089 0.250 0.211 1
Th2 Th 0.142 0.250 0.428 1
Al1 Al 0.014 0.750 0.062 1
Pd1 Pd 0.119 0.250 0.653 1
Pd2 Pd 0.212 0.250 0.816 1
Pd3 Pd 0.228 0.250 0.049 1
```